No. 1
{"formula": "Y2TlCr2", "functional": "PBE", "state": "optimized geometry", "final_energy_ha_per_atom": -0.22580, "cell": [[4.8706, 0.0000, 0.0000], [0.0000, 4.8706, 0.0000], [2.4353, 2.4353, 5.2725]], "species": ["Y", "Y", "Cr", "Cr", "Tl"], "frac_coords": [[0.7500, 0.2500, 0.5000], [0.2500, 0.7500, 0.5000], [0.4163, 0.4163, 0.1674], [0.5837, 0.5837, 0.8326], [0.0000, 0.0000, 0.0000]]}

---

No. 2
{"formula": "YTl2Cr", "functional": "PBE", "state": "optimized geometry", "final_energy_ha_per_atom": -0.16461, "cell": [[-0.8402, -3.8449, -1.9624], [3.5272, 0.5410, -2.5702], [7.2373, -6.5428, 4.7926]], "species": ["Y", "Y", "Cr", "Cr", "Tl", "Tl", "Tl", "Tl"], "frac_coords": [[0.0000, 0.0000, 0.0000], [0.7500, 0.2500, 0.5000], [0.5000, 0.5000, 0.0000], [0.2500, 0.7500, 0.5000], [0.5950, 0.1250, 0.2500], [0.1550, 0.6250, 0.2500], [0.3750, 0.4050, 0.7500], [0.8750, 0.8450, 0.7500]]}

---

M_tot: 0.0, 0.0 (μB/cell)